[1]
## KFe2W (meta-GGA SCAN)

Data for KFe2W at its PBEsol-relaxed geometry.

Unit cell a=2.590 b=4.939 c=4.939 alpha=89.89 beta=90.00 gamma=90.00
Fractional coordinates of all 4 atoms:
Fe 0.000 0.000 0.500
Fe 0.000 0.500 0.000
K 0.500 0.000 0.000
W 0.500 0.500 0.500

Computed properties:
Magnetization: 4.662 μB per cell
Raw total energy: -27.301 eV/atom
D(E_F): 5.15 states/eV/f.u.
Volume: 15.79 Å³ per atom
ΔH_f (0 K): 1268 meV/atom
Energy above the lowest structure with this stoichiometry: 10.44 kcal/mol of atoms
Crystal system: orthorhombic

[2]
## KFeW2 (meta-GGA SCAN)

Data for KFeW2 at its PBEsol-relaxed geometry.

Unit cell a=2.661 b=4.909 c=4.909 alpha=90.00 beta=90.00 gamma=90.00
Fractional coordinates of all 4 atoms:
Fe 0.500 0.500 0.500
K 0.500 0.000 0.000
W 0.000 0.500 0.000
W 0.000 0.000 0.500

Computed properties:
Magnetization: 1.493 μB per cell
Raw total energy: -39.258 eV/atom
D(E_F): 3.57 states/eV/f.u.
Volume: 16.03 Å³ per atom
ΔH_f (0 K): 2201 meV/atom
Energy above the lowest structure with this stoichiometry: 24.26 kcal/mol of atoms
Crystal system: tetragonal

[3]
## KFeW3 (meta-GGA SCAN)

Data for KFeW3 at its PBEsol-relaxed geometry.

Unit cell a=4.574 b=4.574 c=4.574 alpha=90.00 beta=90.00 gamma=90.00
Fractional coordinates of all 5 atoms:
K 0.500 0.500 0.500
Fe 0.000 0.000 0.000
W 0.000 0.000 0.500
W 0.000 0.500 0.000
W 0.500 0.000 0.000

Computed properties:
Magnetization: 0.006 μB per cell
Raw total energy: -45.054 eV/atom
D(E_F): 4.68 states/eV/f.u.
Volume: 19.14 Å³ per atom
ΔH_f (0 K): 2050 meV/atom
Crystal system: cubic

[4]
## KFe2W (meta-GGA SCAN)

Data for KFe2W at its PBEsol-relaxed geometry.

Unit cell a=3.000 b=3.000 c=7.886 alpha=90.00 beta=90.00 gamma=90.00
Fractional coordinates of all 4 atoms:
K 0.500 0.500 0.000
Fe 0.000 0.000 0.663
Fe 0.000 0.000 0.337
W 0.500 0.500 0.500

Computed properties:
Magnetization: 3.315 μB per cell
Raw total energy: -27.754 eV/atom
D(E_F): 4.42 states/eV/f.u.
Volume: 17.75 Å³ per atom
ΔH_f (0 K): 815 meV/atom
Energy above the lowest structure with this stoichiometry: 0.00 kcal/mol of atoms
Crystal system: tetragonal

[5]
## KYFe3 (meta-GGA SCAN)

Data for KYFe3 at its PBEsol-relaxed geometry.

Unit cell a=5.012 b=5.012 c=5.012 alpha=90.00 beta=90.00 gamma=90.00
Fractional coordinates of all 5 atoms:
Y 0.000 0.000 0.000
K 0.500 0.500 0.500
Fe 0.500 0.000 0.000
Fe 0.000 0.000 0.500
Fe 0.000 0.500 0.000

Computed properties:
Magnetization: 8.387 μB per cell
Raw total energy: -16.498 eV/atom
D(E_F): 6.09 states/eV/f.u.
Volume: 25.17 Å³ per atom
ΔH_f (0 K): 1614 meV/atom
Crystal system: cubic

[6]
## KZn2Fe (meta-GGA SCAN)

Data for KZn2Fe at its PBEsol-relaxed geometry.

Unit cell a=2.799 b=2.799 c=9.955 alpha=81.92 beta=81.92 gamma=60.00
Fractional coordinates of all 4 atoms:
Zn 0.765 0.765 0.704
Zn 0.235 0.235 0.296
K 0.000 0.000 0.000
Fe 0.500 0.500 0.500

Computed properties:
Magnetization: 2.638 μB per cell
Raw total energy: -12.875 eV/atom
D(E_F): 2.19 states/eV/f.u.
Volume: 16.66 Å³ per atom
ΔH_f (0 K): 498 meV/atom
Energy above the lowest structure with this stoichiometry: 0.00 kcal/mol of atoms
Crystal system: trigonal

[7]
## KZn2Fe (meta-GGA SCAN)

Data for KZn2Fe at its PBEsol-relaxed geometry.

Unit cell a=4.773 b=4.773 c=4.773 alpha=60.00 beta=60.00 gamma=60.00
Fractional coordinates of all 4 atoms:
Zn 0.750 0.750 0.750
Zn 0.250 0.250 0.250
Fe 0.000 0.000 0.000
K 0.500 0.500 0.500

Computed properties:
Magnetization: 3.103 μB per cell
Raw total energy: -12.678 eV/atom
D(E_F): 2.18 states/eV/f.u.
Volume: 19.23 Å³ per atom
ΔH_f (0 K): 694 meV/atom
Energy above the lowest structure with this stoichiometry: 4.53 kcal/mol of atoms
Crystal system: cubic

[8]
## La2Fe3 (meta-GGA SCAN)

Data for La2Fe3 at its PBEsol-relaxed geometry.

Unit cell a=4.047 b=4.047 c=7.771 alpha=90.00 beta=90.00 gamma=120.00
Fractional coordinates of all 5 atoms:
Fe 0.333 0.667 0.046
Fe 0.667 0.333 0.954
Fe 0.000 0.000 0.000
La 0.667 0.333 0.283
La 0.333 0.667 0.717

Computed properties:
Magnetization: 4.416 μB per cell
Raw total energy: -28.000 eV/atom
D(E_F): 4.73 states/eV/f.u.
Volume: 22.05 Å³ per atom
ΔH_f (0 K): 120 meV/atom
Crystal system: trigonal

[9]
## La3Fe2 (meta-GGA SCAN)

Data for La3Fe2 at its PBEsol-relaxed geometry.

Unit cell a=4.380 b=4.380 c=6.815 alpha=90.00 beta=90.00 gamma=120.00
Fractional coordinates of all 5 atoms:
Fe 0.333 0.667 0.885
Fe 0.667 0.333 0.115
La 0.000 0.000 0.000
La 0.333 0.667 0.345
La 0.667 0.333 0.655

Computed properties:
Magnetization: 1.971 μB per cell
Raw total energy: -32.774 eV/atom
D(E_F): 4.59 states/eV/f.u.
Volume: 22.64 Å³ per atom
ΔH_f (0 K): 340 meV/atom
Crystal system: trigonal

[10]
## La2Fe (meta-GGA SCAN)

Data for La2Fe at its PBEsol-relaxed geometry.

Unit cell a=3.925 b=3.925 c=6.221 alpha=90.00 beta=90.00 gamma=120.00
Fractional coordinates of all 3 atoms:
La 0.667 0.333 0.766
La 0.333 0.667 0.234
Fe 0.000 0.000 0.000

Computed properties:
Magnetization: 0.000 μB per cell
Raw total energy: -34.430 eV/atom
D(E_F): 1.27 states/eV/f.u.
Volume: 27.66 Å³ per atom
ΔH_f (0 K): 350 meV/atom
Crystal system: trigonal

[11]
## La3Fe (meta-GGA SCAN)

Data for La3Fe at its PBEsol-relaxed geometry.

Unit cell a=3.527 b=3.527 c=8.739 alpha=90.00 beta=90.00 gamma=90.00
Fractional coordinates of all 4 atoms:
La 0.500 0.500 0.810
La 0.000 0.000 0.500
La 0.500 0.500 0.190
Fe 0.000 0.000 0.000

Computed properties:
Magnetization: 1.835 μB per cell
Raw total energy: -36.675 eV/atom
D(E_F): 5.77 states/eV/f.u.
Volume: 27.18 Å³ per atom
ΔH_f (0 K): 186 meV/atom
Crystal system: tetragonal

[12]
## La2Fe (meta-GGA SCAN)

Data for La2Fe at its PBEsol-relaxed geometry.

Unit cell a=3.067 b=5.107 c=5.107 alpha=120.00 beta=90.00 gamma=90.00
Fractional coordinates of all 3 atoms:
Fe 0.000 0.000 0.000
La 0.500 0.667 0.333
La 0.500 0.333 0.667

Computed properties:
Magnetization: 2.063 μB per cell
Raw total energy: -34.300 eV/atom
D(E_F): 4.63 states/eV/f.u.
Volume: 23.09 Å³ per atom
ΔH_f (0 K): 479 meV/atom
Crystal system: hexagonal

[13]
## LaFe (meta-GGA SCAN)

Data for LaFe at its PBEsol-relaxed geometry.

Unit cell a=3.511 b=3.511 c=4.092 alpha=90.00 beta=90.00 gamma=120.00
Fractional coordinates of all 2 atoms:
La 0.667 0.333 0.500
Fe 0.000 0.000 0.000

Computed properties:
Magnetization: 1.729 μB per cell
Raw total energy: -29.923 eV/atom
D(E_F): 2.00 states/eV/f.u.
Volume: 21.84 Å³ per atom
ΔH_f (0 K): 695 meV/atom
Crystal system: hexagonal

[14]
## LiLa2Fe (meta-GGA SCAN)

Data for LiLa2Fe at its PBEsol-relaxed geometry.

Unit cell a=3.535 b=3.535 c=7.245 alpha=90.00 beta=90.00 gamma=90.00
Fractional coordinates of all 4 atoms:
Fe 0.500 0.500 0.662
La 0.000 0.000 0.931
La 0.500 0.500 0.345
Li 0.000 0.000 0.563

Computed properties:
Magnetization: 0.857 μB per cell
Raw total energy: -26.359 eV/atom
D(E_F): 3.17 states/eV/f.u.
Volume: 22.64 Å³ per atom
ΔH_f (0 K): 323 meV/atom
Crystal system: tetragonal

[15]
## Li2LaFe (meta-GGA SCAN)

Data for Li2LaFe at its PBEsol-relaxed geometry.

Unit cell a=2.899 b=2.899 c=10.419 alpha=90.00 beta=90.00 gamma=116.43
Fractional coordinates of all 4 atoms:
Li 0.000 0.000 0.294
Li 0.000 0.000 0.706
La 0.500 0.500 0.000
Fe 0.500 0.500 0.500

Computed properties:
Magnetization: 3.030 μB per cell
Raw total energy: -15.989 eV/atom
D(E_F): 4.25 states/eV/f.u.
Volume: 19.60 Å³ per atom
ΔH_f (0 K): 515 meV/atom
Energy above the lowest structure with this stoichiometry: 5.67 kcal/mol of atoms
Crystal system: orthorhombic